<w>
The following is a DFT calculation (GGA-PBE) of a relaxed TaBeCuPt crystal.

The structure in CIF format:
```
data_TaBeCuPt
_symmetry_space_group_name_H-M 'F -4 3 m'
_symmetry_Int_Tables_number 216
_symmetry_space_group_name_Hall 'F -4 2 3'
_cell_length_a 5.965
_cell_length_b 5.965
_cell_length_c 5.965
_cell_angle_alpha 90.00
_cell_angle_beta 90.00
_cell_angle_gamma 90.00
loop_
_atom_site_label
_atom_site_type_symbol
_atom_site_fract_x
_atom_site_fract_y
_atom_site_fract_z
Ta1 Ta 0.000 0.000 0.000
Be1 Be 0.250 0.250 0.750
Cu1 Cu 0.250 0.250 0.250
Pt1 Pt 0.000 0.000 0.500
```

## Properties
Magnetization in μB/f.u.: 0.09
Calculated volume in Å³ per cell: 212.3

=====

<x>
The following is a DFT calculation (GGA-PBE) of a relaxed TaBeCuPt crystal.

The structure in CIF format:
```
data_TaBeCuPt
_symmetry_space_group_name_H-M 'F -4 3 m'
_symmetry_Int_Tables_number 216
_symmetry_space_group_name_Hall 'F -4 2 3'
_cell_length_a 6.053
_cell_length_b 6.053
_cell_length_c 6.053
_cell_angle_alpha 90.00
_cell_angle_beta 90.00
_cell_angle_gamma 90.00
loop_
_atom_site_label
_atom_site_type_symbol
_atom_site_fract_x
_atom_site_fract_y
_atom_site_fract_z
Ta1 Ta 0.000 0.000 0.000
Be1 Be 0.250 0.250 0.250
Cu1 Cu 0.000 0.000 0.500
Pt1 Pt 0.250 0.250 0.750
```

## Properties
Magnetization in μB/f.u.: 0.00
Calculated volume in Å³ per cell: 221.8

=====

Tell me which of them is the most stable. Sure, it is <x>.

=====

<w>
The following is a DFT calculation (GGA-PBE) of a relaxed RbBeCu crystal.

The structure in CIF format:
```
data_RbBeCu
_symmetry_space_group_name_H-M 'F -4 3 m'
_symmetry_Int_Tables_number 216
_symmetry_space_group_name_Hall 'F -4 2 3'
_cell_length_a 7.045
_cell_length_b 7.045
_cell_length_c 7.045
_cell_angle_alpha 90.00
_cell_angle_beta 90.00
_cell_angle_gamma 90.00
loop_
_atom_site_label
_atom_site_type_symbol
_atom_site_fract_x
_atom_site_fract_y
_atom_site_fract_z
Rb1 Rb 0.000 0.000 0.000
Be1 Be 0.250 0.250 0.750
Cu1 Cu 0.000 0.000 0.500
```

## Properties
Calculated volume in Å³ per cell: 349.7

=====

<x>
The following is a DFT calculation (GGA-PBE) of a relaxed RbBeCu crystal.

The structure in CIF format:
```
data_RbBeCu
_symmetry_space_group_name_H-M 'F -4 3 m'
_symmetry_Int_Tables_number 216
_symmetry_space_group_name_Hall 'F -4 2 3'
_cell_length_a 7.011
_cell_length_b 7.011
_cell_length_c 7.011
_cell_angle_alpha 90.00
_cell_angle_beta 90.00
_cell_angle_gamma 90.00
loop_
_atom_site_label
_atom_site_type_symbol
_atom_site_fract_x
_atom_site_fract_y
_atom_site_fract_z
Rb1 Rb 0.000 0.000 0.000
Be1 Be 0.000 0.000 0.500
Cu1 Cu 0.250 0.250 0.750
```

## Properties
Calculated volume in Å³ per cell: 344.6

=====

Tell me which of them is the most stable. Sure, it is <x>.

=====

<w>
The following is a DFT calculation (GGA-PBE) of a relaxed BeCuRe crystal.

The structure in CIF format:
```
data_BeCuRe
_symmetry_space_group_name_H-M 'F -4 3 m'
_symmetry_Int_Tables_number 216
_symmetry_space_group_name_Hall 'F -4 2 3'
_cell_length_a 5.278
_cell_length_b 5.278
_cell_length_c 5.278
_cell_angle_alpha 90.00
_cell_angle_beta 90.00
_cell_angle_gamma 90.00
loop_
_atom_site_label
_atom_site_type_symbol
_atom_site_fract_x
_atom_site_fract_y
_atom_site_fract_z
Be1 Be 0.000 0.000 0.000
Cu1 Cu 0.250 0.250 0.750
Re1 Re 0.250 0.250 0.250
```

## Properties
Magnetization in μB/f.u.: 0.00
Calculated volume in Å³ per cell: 147.0

=====

<x>
The following is a DFT calculation (GGA-PBE) of a relaxed BeCuRe crystal.

The structure in CIF format:
```
data_BeCuRe
_symmetry_space_group_name_H-M 'F -4 3 m'
_symmetry_Int_Tables_number 216
_symmetry_space_group_name_Hall 'F -4 2 3'
_cell_length_a 5.575
_cell_length_b 5.575
_cell_length_c 5.575
_cell_angle_alpha 90.00
_cell_angle_beta 90.00
_cell_angle_gamma 90.00
loop_
_atom_site_label
_atom_site_type_symbol
_atom_site_fract_x
_atom_site_fract_y
_atom_site_fract_z
Be1 Be 0.000 0.000 0.000
Cu1 Cu 0.000 0.000 0.500
Re1 Re 0.250 0.250 0.250
```

## Properties
Magnetization in μB/f.u.: 1.43
Calculated volume in Å³ per cell: 173.3

=====

Tell me which of them is the most stable. Sure, it is <w>.

=====

<w>
The following is a DFT calculation (GGA-PBE) of a relaxed BeCuReSi crystal.

The structure in CIF format:
```
data_BeCuReSi
_symmetry_space_group_name_H-M 'F -4 3 m'
_symmetry_Int_Tables_number 216
_symmetry_space_group_name_Hall 'F -4 2 3'
_cell_length_a 5.768
_cell_length_b 5.768
_cell_length_c 5.768
_cell_angle_alpha 90.00
_cell_angle_beta 90.00
_cell_angle_gamma 90.00
loop_
_atom_site_label
_atom_site_type_symbol
_atom_site_fract_x
_atom_site_fract_y
_atom_site_fract_z
Be1 Be 0.000 0.000 0.000
Cu1 Cu 0.000 0.000 0.500
Re1 Re 0.250 0.250 0.750
Si1 Si 0.250 0.250 0.250
```

## Properties
Magnetization in μB/f.u.: 0.00
Calculated volume in Å³ per cell: 191.9

=====

<x>
The following is a DFT calculation (GGA-PBE) of a relaxed BeCuReSi crystal.

The structure in CIF format:
```
data_BeCuReSi
_symmetry_space_group_name_H-M 'F -4 3 m'
_symmetry_Int_Tables_number 216
_symmetry_space_group_name_Hall 'F -4 2 3'
_cell_length_a 5.738
_cell_length_b 5.738
_cell_length_c 5.738
_cell_angle_alpha 90.00
_cell_angle_beta 90.00
_cell_angle_gamma 90.00
loop_
_atom_site_label
_atom_site_type_symbol
_atom_site_fract_x
_atom_site_fract_y
_atom_site_fract_z
Be1 Be 0.000 0.000 0.000
Cu1 Cu 0.250 0.250 0.750
Re1 Re 0.250 0.250 0.250
Si1 Si 0.000 0.000 0.500
```

## Properties
Magnetization in μB/f.u.: 0.00
Calculated volume in Å³ per cell: 188.9

=====

Tell me which of them is the most stable. Sure, it is <x>.